# TlAg2F PBE-GGA relaxed
# Calculated density   9.54 g/cm3
# Excess energy over the best structure of this formula in the dataset   0.1602 eV per atom
data_TlAg2F
_symmetry_space_group_name_H-M 'F m -3 m'
_symmetry_Int_Tables_number 225
_symmetry_space_group_name_Hall '-F 4 2 3'
_cell_length_a 6.736
_cell_length_b 6.736
_cell_length_c 6.736
_cell_angle_alpha 90.00
_cell_angle_beta 90.00
_cell_angle_gamma 90.00
loop_
_atom_site_label
_atom_site_type_symbol
_atom_site_fract_x
_atom_site_fract_y
_atom_site_fract_z
Tl1 Tl 0.000 0.000 0.000
Ag1 Ag 0.250 0.250 0.250
F1 F 0.000 0.000 0.500

***

# Nd7Cu2Rh2 PBE-GGA relaxed
# Energy relative to the elements   -17 kJ per mole of atoms
# Calculated density   7.11 g/cm3
data_Nd7Cu2Rh2
_symmetry_space_group_name_H-M 'C m m m'
_symmetry_Int_Tables_number 65
_symmetry_space_group_name_Hall '-C 2 2'
_cell_length_a 7.704
_cell_length_b 11.310
_cell_length_c 7.193
_cell_angle_alpha 90.00
_cell_angle_beta 90.00
_cell_angle_gamma 90.00
loop_
_atom_site_label
_atom_site_type_symbol
_atom_site_fract_x
_atom_site_fract_y
_atom_site_fract_z
Nd1 Nd 0.000 0.000 0.000
Nd2 Nd 0.000 0.500 0.260
Nd3 Nd 0.250 0.250 0.268
Cu1 Cu 0.164 0.000 0.500
Rh1 Rh 0.000 0.300 0.000

***

# MgAs2PtSe PBE-GGA relaxed
# Calculated density   5.96 g/cm3
# Excess energy over the best structure of this formula in the dataset   0.0000 eV per atom
data_MgAs2PtSe
_symmetry_space_group_name_H-M 'P 4/m m m'
_symmetry_Int_Tables_number 123
_symmetry_space_group_name_Hall '-P 4 2'
_cell_length_a 4.818
_cell_length_b 4.818
_cell_length_c 5.383
_cell_angle_alpha 90.00
_cell_angle_beta 90.00
_cell_angle_gamma 90.00
loop_
_atom_site_label
_atom_site_type_symbol
_atom_site_fract_x
_atom_site_fract_y
_atom_site_fract_z
Mg1 Mg 0.000 0.000 0.000
As1 As 0.000 0.500 0.500
Pt1 Pt 0.500 0.500 0.500
Se1 Se 0.500 0.500 0.000

***

# CuIr2Pt PBE-GGA relaxed
# Energy relative to the elements   1 kJ per mole of atoms
# Calculated density   18.68 g/cm3
# Excess energy over the best structure of this formula in the dataset   0.0040 eV per atom
data_CuIr2Pt
_symmetry_space_group_name_H-M 'P 4 m m'
_symmetry_Int_Tables_number 99
_cell_length_a 2.751
_cell_length_b 2.751
_cell_length_c 7.554
_cell_angle_alpha 90.00
_cell_angle_beta 90.00
_cell_angle_gamma 90.00
loop_
_symmetry_equiv_pos_as_xyz
'x,y,z'
'-y,x,z'
'-x,-y,z'
'y,-x,z'
'-x,y,z'
'y,x,z'
'x,-y,z'
'-y,-x,z'
loop_
_atom_site_label
_atom_site_type_symbol
_atom_site_fract_x
_atom_site_fract_y
_atom_site_fract_z
Cu1 Cu 0.000 0.000 0.000
Ir1 Ir 0.000 0.000 0.487
Ir2 Ir 0.500 0.500 0.245
Pt1 Pt 0.500 0.500 0.752

***

# IrRh2Pb PBE-GGA relaxed
# Energy relative to the elements   22 kJ per mole of atoms
# Calculated density   15.25 g/cm3
data_IrRh2Pb
_symmetry_space_group_name_H-M 'P m m 2'
_symmetry_Int_Tables_number 25
_cell_length_a 2.918
_cell_length_b 4.601
_cell_length_c 4.909
_cell_angle_alpha 90.00
_cell_angle_beta 90.00
_cell_angle_gamma 90.00
loop_
_symmetry_equiv_pos_as_xyz
'x,y,z'
'-x,-y,z'
'-x,y,z'
'x,-y,z'
loop_
_atom_site_label
_atom_site_type_symbol
_atom_site_fract_x
_atom_site_fract_y
_atom_site_fract_z
Ir1 Ir 0.000 0.000 0.000
Rh1 Rh 0.500 0.000 0.464
Rh2 Rh 0.500 0.500 0.123
Pb1 Pb 0.000 0.500 0.629

***

# In4Sb2S9 PBE-GGA relaxed
# DFT total energy   -62.134 eV per formula unit
# Calculated density   4.57 g/cm3
data_In4Sb2S9
_symmetry_space_group_name_H-M 'C 1 2/c 1'
_symmetry_Int_Tables_number 15
_cell_length_a 11.692
_cell_length_b 6.750
_cell_length_c 18.243
_cell_angle_alpha 90.00
_cell_angle_beta 90.00
_cell_angle_gamma 90.00
loop_
_symmetry_equiv_pos_as_xyz
'x,y,z'
'-x,-y,-z'
'-x,y,-z+1/2'
'x,-y,z+1/2'
'x+1/2,y+1/2,z'
'-x+1/2,-y+1/2,-z'
'-x+1/2,y+1/2,-z+1/2'
'x+1/2,-y+1/2,z+1/2'
loop_
_atom_site_label
_atom_site_type_symbol
_atom_site_fract_x
_atom_site_fract_y
_atom_site_fract_z
In1 In 0.167 0.000 0.022
In2 In 0.167 0.001 0.317
Sb1 Sb 0.000 0.500 0.149
S1 S 0.000 0.186 0.250
S2 S 0.018 0.143 0.919
S3 S 0.157 0.343 0.750
S4 S 0.169 0.295 0.419
S5 S 0.187 0.350 0.081

***

# SrLa4Cd5 PBE-GGA relaxed
# Energy relative to the elements   -32 kJ per mole of atoms
# Calculated density   6.44 g/cm3
data_SrLa4Cd5
_symmetry_space_group_name_H-M 'P 4/m m m'
_symmetry_Int_Tables_number 123
_symmetry_space_group_name_Hall '-P 4 2'
_cell_length_a 3.955
_cell_length_b 3.955
_cell_length_c 19.862
_cell_angle_alpha 90.00
_cell_angle_beta 90.00
_cell_angle_gamma 90.00
loop_
_atom_site_label
_atom_site_type_symbol
_atom_site_fract_x
_atom_site_fract_y
_atom_site_fract_z
Sr1 Sr 0.000 0.000 0.000
La1 La 0.000 0.000 0.205
La2 La 0.000 0.000 0.401
Cd1 Cd 0.500 0.500 0.108
Cd2 Cd 0.500 0.500 0.303
Cd3 Cd 0.500 0.500 0.500

***

# Tb6Nd3Dy PBE-GGA relaxed
# Energy relative to the elements   24 kJ per mole of atoms
# Calculated density   7.42 g/cm3
# Excess energy over the best structure of this formula in the dataset   0.0977 eV per atom
data_Tb6Nd3Dy
_symmetry_space_group_name_H-M 'C 1 2/m 1'
_symmetry_Int_Tables_number 12
_cell_length_a 9.973
_cell_length_b 6.885
_cell_length_c 10.097
_cell_angle_alpha 90.00
_cell_angle_beta 90.39
_cell_angle_gamma 90.00
loop_
_symmetry_equiv_pos_as_xyz
'x,y,z'
'-x,-y,-z'
'-x,y,-z'
'x,-y,z'
'x+1/2,y+1/2,z'
'-x+1/2,-y+1/2,-z'
'-x+1/2,y+1/2,-z'
'x+1/2,-y+1/2,z'
loop_
_atom_site_label
_atom_site_type_symbol
_atom_site_fract_x
_atom_site_fract_y
_atom_site_fract_z
Tb1 Tb 0.128 0.246 0.252
Tb2 Tb 0.140 0.000 0.572
Nd1 Nd 0.000 0.500 0.500
Nd2 Nd 0.142 0.500 0.928
Dy1 Dy 0.000 0.000 0.000